1.
DFT (PBEsol) results for a relaxed Li2YCdOs crystal.

Properties
As for the formation energy: 1307 meV/atom. As for the space-group type: P4/mmm.

a b c (Å): 5.0831 5.0831 4.7588
angles (deg): 90.00 90.00 90.00
Fractional coordinates of all 5 atoms:
Li: 0.0000 0.5000 0.0000
Li: 0.5000 0.0000 0.0000
Y: 0.0000 0.0000 0.0000
Cd: 0.5000 0.5000 0.5000
Os: 0.0000 0.0000 0.5000

=====

2.
DFT (PBEsol) results for a relaxed LiNiRh2 crystal.

Properties
As for the formation energy: -11 meV/atom. As for the space-group type: Cm.

a b c (Å): 4.5399 4.5399 4.3666
angles (deg): 99.47 99.47 33.53
Fractional coordinates of all 4 atoms:
Li: 0.0000 0.0000 0.0000
Ni: 0.2465 0.2465 0.7787
Rh: 0.5059 0.5059 0.5064
Rh: 0.7590 0.7590 0.2838

=====

3.
DFT (PBEsol) results for a relaxed MoPt2Pb crystal.

Properties
As for the formation energy: 284 meV/atom. As for the space-group type: F-43m.

a b c (Å): 4.5763 4.5763 4.5763
angles (deg): 60.00 60.00 60.00
Fractional coordinates of all 4 atoms:
Mo: 0.0000 0.0000 0.0000
Pt: 0.5000 0.5000 0.5000
Pt: 0.7500 0.7500 0.7500
Pb: 0.2500 0.2500 0.2500

=====

4.
DFT (PBEsol) results for a relaxed H2RhN crystal.

Properties
For the total energy, the calculation gives -40.9 eV/cell. As for the space-group type: Fd-3m.

a b c (Å): 4.2263 4.2263 4.2263
angles (deg): 60.00 60.00 60.00
Fractional coordinates of all 8 atoms:
H: 0.0000 0.0000 0.0000
H: 0.0000 0.0000 0.5000
H: 0.0000 0.5000 0.0000
H: 0.5000 0.0000 0.0000
Rh: 0.3750 0.3750 0.3750
Rh: 0.6250 0.6250 0.6250
N: 0.1250 0.1250 0.1250
N: 0.8750 0.8750 0.8750